Below is a PBEsol-optimized structure of SrInRuC2, with properties calculated at the SCAN level.

DFT formation energy (eV per formula unit): 16.09
Symmetry: P4/mmm
Energy (eV per atom): -18.919
V (Å³ per atom): 21.1

Cell lengths 4.292, 4.292, 5.727 Å; angles 90.00, 90.00, 90.00 degrees
Sites, in units of the cell vectors:
1 Sr 0.000 0.000 0.000
2 In 0.000 0.000 0.500
3 Ru 0.500 0.500 0.500
4 C 0.000 0.500 0.000
5 C 0.500 0.000 0.000

***

Below is a PBEsol-optimized structure of InSbC3, with properties calculated at the SCAN level.

Symmetry: Pm-3m
Energy (eV per atom): -17.132
V (Å³ per atom): 15.9

Cell lengths 4.297, 4.297, 4.297 Å; angles 90.00, 90.00, 90.00 degrees
Sites, in units of the cell vectors:
1 In 0.000 0.000 0.000
2 Sb 0.500 0.500 0.500
3 C 0.000 0.000 0.500
4 C 0.000 0.500 0.000
5 C 0.500 0.000 0.000

***

Below is a PBEsol-optimized structure of ZnInSbC2, with properties calculated at the SCAN level.

Symmetry: P4/mmm
Energy (eV per atom): -18.817
V (Å³ per atom): 17.8

Cell lengths 4.063, 4.063, 5.402 Å; angles 90.00, 90.00, 90.00 degrees
Sites, in units of the cell vectors:
1 Zn 0.000 0.000 0.000
2 In 0.500 0.500 0.500
3 Sb 0.000 0.000 0.500
4 C 0.000 0.500 0.000
5 C 0.500 0.000 0.000

***

Below is a PBEsol-optimized structure of Sc2InC, with properties calculated at the SCAN level.

DFT formation energy (eV per formula unit): -2.71
Symmetry: P6_3/mmc
Energy (eV per atom): -18.668
V (Å³ per atom): 18.1

Cell lengths 3.315, 3.315, 15.203 Å; angles 90.00, 90.00, 120.00 degrees
Sites, in units of the cell vectors:
1 Sc 0.333 0.667 0.080
2 Sc 0.333 0.667 0.420
3 Sc 0.667 0.333 0.580
4 Sc 0.667 0.333 0.920
5 In 0.333 0.667 0.750
6 In 0.667 0.333 0.250
7 C 0.000 0.000 0.000
8 C 0.000 0.000 0.500

***

Below is a PBEsol-optimized structure of ScInC3, with properties calculated at the SCAN level.

DFT formation energy (eV per formula unit): 12.04
Symmetry: Pm-3m
Energy (eV per atom): -13.176
V (Å³ per atom): 14.8

Cell lengths 4.197, 4.197, 4.197 Å; angles 90.00, 90.00, 90.00 degrees
Sites, in units of the cell vectors:
1 Sc 0.000 0.000 0.000
2 In 0.500 0.500 0.500
3 C 0.000 0.500 0.500
4 C 0.500 0.000 0.500
5 C 0.500 0.500 0.000

***

Below is a PBEsol-optimized structure of Sc2InC, with properties calculated at the SCAN level.

DFT formation energy (eV per formula unit): 3.00
Symmetry: R-3m
Energy (eV per atom): -17.240
V (Å³ per atom): 21.4

Cell lengths 9.149, 9.149, 9.149 Å; angles 20.95, 20.95, 20.95 degrees
Sites, in units of the cell vectors:
1 Sc 0.078 0.078 0.078
2 Sc 0.922 0.922 0.922
3 In 0.500 0.500 0.500
4 C 0.000 0.000 0.000

***

Below is a PBEsol-optimized structure of Sc2InTcC, with properties calculated at the SCAN level.

DFT formation energy (eV per formula unit): 10.94
Symmetry: P4/mmm
Energy (eV per atom): -19.215
V (Å³ per atom): 25.6

Cell lengths 5.156, 5.156, 4.818 Å; angles 90.00, 90.00, 90.00 degrees
Sites, in units of the cell vectors:
1 Sc 0.000 0.500 0.000
2 Sc 0.500 0.000 0.000
3 In 0.000 0.000 0.000
4 Tc 0.000 0.000 0.500
5 C 0.500 0.500 0.500

***

Below is a PBEsol-optimized structure of InC2Se, with properties calculated at the SCAN level.

Symmetry: I-42d
Energy (eV per atom): -16.905
V (Å³ per atom): 15.1

Cell lengths 6.110, 6.110, 6.110 Å; angles 132.80, 132.80, 68.97 degrees
Sites, in units of the cell vectors:
1 In 0.000 0.000 0.000
2 In 0.750 0.250 0.500
3 C 0.160 0.625 0.035
4 C 0.375 0.410 0.535
5 C 0.590 0.125 0.965
6 C 0.875 0.840 0.465
7 Se 0.250 0.750 0.500
8 Se 0.500 0.500 0.000

***

Below is a PBEsol-optimized structure of InSi2C, with properties calculated at the SCAN level.

Symmetry: Fm-3m
Energy (eV per atom): -14.047
V (Å³ per atom): 15.5

Cell lengths 4.441, 4.441, 4.441 Å; angles 60.00, 60.00, 60.00 degrees
Sites, in units of the cell vectors:
1 In 0.000 0.000 0.000
2 Si 0.250 0.250 0.250
3 Si 0.750 0.750 0.750
4 C 0.500 0.500 0.500

***

Below is a PBEsol-optimized structure of InSiC2, with properties calculated at the SCAN level.

Symmetry: Fm-3m
Energy (eV per atom): -13.660
V (Å³ per atom): 11.7

Cell lengths 4.039, 4.039, 4.039 Å; angles 60.00, 60.00, 60.00 degrees
Sites, in units of the cell vectors:
1 In 0.000 0.000 0.000
2 Si 0.500 0.500 0.500
3 C 0.250 0.250 0.250
4 C 0.750 0.750 0.750

***

Below is a PBEsol-optimized structure of InSn3C, with properties calculated at the SCAN level.

DFT formation energy (eV per formula unit): 9.76
Symmetry: Pm-3m
Energy (eV per atom): -28.299
V (Å³ per atom): 33.4

Cell lengths 5.505, 5.505, 5.505 Å; angles 90.00, 90.00, 90.00 degrees
Sites, in units of the cell vectors:
1 In 0.000 0.000 0.000
2 Sn 0.000 0.000 0.500
3 Sn 0.000 0.500 0.000
4 Sn 0.500 0.000 0.000
5 C 0.500 0.500 0.500

***

Below is a PBEsol-optimized structure of SrInC3, with properties calculated at the SCAN level.

DFT formation energy (eV per formula unit): 17.15
Symmetry: Pm-3m
Energy (eV per atom): -13.763
V (Å³ per atom): 19.4

Cell lengths 4.598, 4.598, 4.598 Å; angles 90.00, 90.00, 90.00 degrees
Sites, in units of the cell vectors:
1 Sr 0.000 0.000 0.000
2 In 0.500 0.500 0.500
3 C 0.000 0.000 0.500
4 C 0.000 0.500 0.000
5 C 0.500 0.000 0.000